[1]
Density functional theory data (PBEsol) for a relaxed RbB2Mo crystal.

a = 6.423 Å, b = 6.423 Å, c = 6.423 Å
α = 92.56°, β = 118.53°, γ = 118.53°
Element x y z (fractional)
B: 0.318 0.943 0.125
B: 0.682 0.807 0.625
B: 0.818 0.875 0.193
B: 0.182 0.375 0.057
Mo: 0.500 0.750 0.250
Mo: 0.000 0.000 0.000
Rb: 0.000 0.500 0.500
Rb: 0.500 0.250 0.750

Formation energy from the elements ... 4.22 eV per formula unit
Symmetry ... I-42d
Relative energy among the computed polymorphs ... 0.000 eV per atom
ρ ... 3.5 g/cm3

[2]
Density functional theory data (PBEsol) for a relaxed MgZr2Cd crystal.

a = 3.164 Å, b = 5.354 Å, c = 5.354 Å
α = 112.39°, β = 90.00°, γ = 90.00°
Element x y z (fractional)
Zr: 0.000 0.500 0.000
Zr: 0.000 0.000 0.500
Cd: 0.500 0.000 0.000
Mg: 0.500 0.500 0.500

Formation energy from the elements ... -0.15 eV per formula unit
Symmetry ... Cmmm
ρ ... 6.3 g/cm3

[3]
Density functional theory data (PBEsol) for a relaxed EuPb3 crystal.

a = 4.836 Å, b = 4.836 Å, c = 4.836 Å
α = 90.00°, β = 90.00°, γ = 90.00°
Site moments in Bohr magnetons follow the coordinates.
Element x y z (fractional)
Pb: 0.500 0.000 0.500  0.01
Pb: 0.500 0.500 0.000  0.01
Pb: 0.000 0.500 0.500  0.01
Eu: 0.000 0.000 0.000  6.79

Formation energy from the elements ... -1.77 eV per formula unit
Symmetry ... Pm-3m
ρ ... 11.4 g/cm3

> The highest ρ belongs to which entry?

EuPb3